Entry from the Alexandria database: a geometry-optimized LiNiIrF6 structure (PBE with a Hubbard U).

Cell lengths 4.717, 4.717, 9.421 Å; angles 90.00, 90.00, 90.00 degrees
Positions (direct):
1 Li 0.000 0.000 0.000
2 Li 0.500 0.500 0.500
3 Ni 0.000 0.000 0.670
4 Ni 0.500 0.500 0.170
5 Ir 0.000 0.000 0.334
6 Ir 0.500 0.500 0.834
7 F 0.193 0.193 0.502
8 F 0.196 0.196 0.167
9 F 0.196 0.196 0.835
10 F 0.304 0.696 0.335
11 F 0.304 0.696 0.667
12 F 0.307 0.693 0.002
13 F 0.693 0.307 0.002
14 F 0.696 0.304 0.335
15 F 0.696 0.304 0.667
16 F 0.804 0.804 0.167
17 F 0.804 0.804 0.835
18 F 0.807 0.807 0.502

Values from the calculation:
Uncorrected energy in Ry/atom: -0.3457